MgSb2SI: relaxed, GGA-PBE.

Calculated values
E_form (uncorrected)   626.3 meV/atom
Calculated density   4.46 g cm⁻³
Energy relative to the lowest polymorph listed for this composition   195.5 meV per atom

```
MgSb2SI
1.0
-1.8297 -0.7644 -5.1301
1.7181 -5.2222 0.1653
-4.6745 -1.4781 1.8875
I Sb S Mg
1 2 1 1
Cartesian
-2.3372 -0.7391 0.9437 I
0.8590 -2.6111 0.0827 Sb
-0.9149 -0.3822 -2.5650 Sb
-2.3931 -3.7324 -1.5386 S
0.0000 0.0000 0.0000 Mg
```